Computed, not measured: AlNiOs2 at its PBEsol-relaxed geometry at the meta-GGA SCAN level of DFT.

Lattice parameters (Å, degrees): 2.9285 4.1837 4.8865 115.35 107.44 90.00
Fractional positions:
1 Os 0.7582 0.2582 0.5164
2 Os 0.9954 0.9954 0.9908
3 Al 0.5110 0.5110 0.0219
4 Ni 0.2354 0.7354 0.4709

DFT formation energy in eV/atom: -0.192

***

Computed, not measured: AlNiOs2 at its PBEsol-relaxed geometry at the meta-GGA SCAN level of DFT.

Lattice parameters (Å, degrees): 3.7881 3.7881 4.5047 114.86 114.86 90.00
Fractional positions:
1 Ni 0.2500 0.7500 0.5000
2 Os 0.7500 0.2500 0.5000
3 Os 0.0000 0.0000 0.0000
4 Al 0.5000 0.5000 0.0000

DFT formation energy in eV/atom: -0.199

***

Computed, not measured: AlNiOs2 at its PBEsol-relaxed geometry at the meta-GGA SCAN level of DFT.

Lattice parameters (Å, degrees): 2.6672 2.6672 8.2936 90.00 90.00 115.40
Fractional positions:
1 Ni 0.5000 0.5000 0.0000
2 Os 0.0000 0.0000 0.2481
3 Os 0.0000 0.0000 0.7519
4 Al 0.5000 0.5000 0.5000

DFT formation energy in eV/atom: 0.172

***

no.,spin magnetization (μB/f.u.)
1,0.00
2,0.00
3,0.00